# 1
# LaAl2Br, single point on PBEsol structure, DFT meta-GGA SCAN
data_LaAl2Br
_chemical_formula_sum 'La1 Al2 Br1'
_symmetry_space_group_name_H-M 'P 1'
_symmetry_Int_Tables_number 1
_cell_length_a 3.380
_cell_length_b 4.850
_cell_length_c 6.009
_cell_angle_alpha 90.00
_cell_angle_beta 90.00
_cell_angle_gamma 90.31
loop_
_symmetry_equiv_pos_as_xyz
'x,y,z'
loop_
_atom_site_label
_atom_site_fract_x
_atom_site_fract_y
_atom_site_fract_z
Al1 0.188 0.240 0.000
Al2 0.812 0.760 0.000
Br1 0.000 0.500 0.500
La1 0.500 0.000 0.500
# * ΔE_f (raw): -370 meV per atom
# * magnetic moment: 0.01 Bohr magnetons per cell
# * uncorrected energy: -19.887 eV per atom
# * space-group type: P2/m, No. 10
# * relative energy among the computed polymorphs: 0.10 eV per formula unit

# 2
# NaErPd6O8, single point on PBEsol structure, DFT meta-GGA SCAN
data_NaErPd6O8
_chemical_formula_sum 'Na1 Er1 Pd6 O8'
_symmetry_space_group_name_H-M 'P 1'
_symmetry_Int_Tables_number 1
_cell_length_a 5.712
_cell_length_b 5.712
_cell_length_c 5.712
_cell_angle_alpha 90.00
_cell_angle_beta 90.00
_cell_angle_gamma 90.00
loop_
_symmetry_equiv_pos_as_xyz
'x,y,z'
loop_
_atom_site_label
_atom_site_fract_x
_atom_site_fract_y
_atom_site_fract_z
Na1 0.500 0.500 0.500
Er1 0.000 0.000 0.000
Pd1 0.250 0.000 0.500
Pd2 0.750 0.000 0.500
Pd3 0.500 0.250 0.000
Pd4 0.500 0.750 0.000
Pd5 0.000 0.500 0.250
Pd6 0.000 0.500 0.750
O1 0.240 0.240 0.240
O2 0.760 0.760 0.760
O3 0.760 0.760 0.240
O4 0.760 0.240 0.760
O5 0.240 0.240 0.760
O6 0.240 0.760 0.240
O7 0.240 0.760 0.760
O8 0.760 0.240 0.240
# * ΔE_f (raw): -1321 meV per atom
# * magnetic moment: 0.00 Bohr magnetons per cell
# * uncorrected energy: -20.136 eV per atom
# * space-group type: Pm-3, No. 200

# 3
# CaZr2P, single point on PBEsol structure, DFT meta-GGA SCAN
data_CaZr2P
_chemical_formula_sum 'Ca1 Zr2 P1'
_symmetry_space_group_name_H-M 'P 1'
_symmetry_Int_Tables_number 1
_cell_length_a 3.579
_cell_length_b 3.579
_cell_length_c 9.052
_cell_angle_alpha 78.60
_cell_angle_beta 78.60
_cell_angle_gamma 60.00
loop_
_symmetry_equiv_pos_as_xyz
'x,y,z'
loop_
_atom_site_label
_atom_site_fract_x
_atom_site_fract_y
_atom_site_fract_z
Ca1 0.000 0.000 0.000
P1 0.500 0.500 0.500
Zr1 0.222 0.222 0.335
Zr2 0.778 0.778 0.665
# * energy of formation from the pure elements: -0.586 eV/atom
# * magnetic moment: 0.00 Bohr magnetons per cell
# * uncorrected energy: -20.951 eV per atom
# * space-group type: R-3m, No. 166

# 4
# NaIrSeN2, single point on PBEsol structure, DFT meta-GGA SCAN
data_NaIrSeN2
_chemical_formula_sum 'Na1 Ir1 Se1 N2'
_symmetry_space_group_name_H-M 'P 1'
_symmetry_Int_Tables_number 1
_cell_length_a 3.972
_cell_length_b 3.972
_cell_length_c 5.143
_cell_angle_alpha 90.00
_cell_angle_beta 90.00
_cell_angle_gamma 90.00
loop_
_symmetry_equiv_pos_as_xyz
'x,y,z'
loop_
_atom_site_label
_atom_site_fract_x
_atom_site_fract_y
_atom_site_fract_z
Na1 0.000 0.000 0.000
Ir1 0.500 0.500 0.500
Se1 0.000 0.000 0.500
N1 0.000 0.500 0.000
N2 0.500 0.000 0.000
# * ΔE_f (raw): 2415 meV per atom
# * magnetic moment: 4.34 Bohr magnetons per cell
# * uncorrected energy: -20.380 eV per atom
# * space-group type: P4/mmm, No. 123

# 5
# Mn2AlRu, single point on PBEsol structure, DFT meta-GGA SCAN
data_Mn2AlRu
_chemical_formula_sum 'Mn2 Al1 Ru1'
_symmetry_space_group_name_H-M 'P 1'
_symmetry_Int_Tables_number 1
_cell_length_a 2.625
_cell_length_b 3.925
_cell_length_c 4.898
_cell_angle_alpha 90.00
_cell_angle_beta 104.16
_cell_angle_gamma 90.00
loop_
_symmetry_equiv_pos_as_xyz
'x,y,z'
loop_
_atom_site_label
_atom_site_fract_x
_atom_site_fract_y
_atom_site_fract_z
Ru1 0.535 0.000 0.492
Mn1 0.885 0.000 0.007
Mn2 0.862 0.500 0.240
Al1 0.218 0.500 0.761
# * energy of formation from the pure elements: -0.242 eV/atom
# * magnetic moment: 0.08 Bohr magnetons per cell
# * uncorrected energy: -20.014 eV per atom
# * space-group type: Pm, No. 6

# 6
# Rb2U6Pt4Se17, single point on PBEsol structure, DFT meta-GGA SCAN
data_Rb2U6Pt4Se17
_chemical_formula_sum 'Rb4 U12 Pt8 Se34'
_symmetry_space_group_name_H-M 'P 1'
_symmetry_Int_Tables_number 1
_cell_length_a 10.466
_cell_length_b 10.466
_cell_length_c 13.017
_cell_angle_alpha 90.00
_cell_angle_beta 90.00
_cell_angle_gamma 90.00
loop_
_symmetry_equiv_pos_as_xyz
'x,y,z'
loop_
_atom_site_label
_atom_site_fract_x
_atom_site_fract_y
_atom_site_fract_z
Rb1 0.500 0.500 0.225
Rb2 0.000 0.000 0.725
Rb3 0.500 0.500 0.775
Rb4 0.000 0.000 0.275
U1 0.000 0.500 0.250
U2 0.500 0.000 0.750
U3 0.500 0.000 0.250
U4 0.000 0.500 0.750
U5 0.616 0.744 0.500
U6 0.384 0.256 0.500
U7 0.884 0.244 0.000
U8 0.116 0.756 0.000
U9 0.744 0.384 0.500
U10 0.256 0.616 0.500
U11 0.244 0.116 0.000
U12 0.756 0.884 0.000
Pt1 0.935 0.632 0.500
Pt2 0.065 0.368 0.500
Pt3 0.565 0.132 0.000
Pt4 0.435 0.868 0.000
Pt5 0.632 0.065 0.500
Pt6 0.368 0.935 0.500
Pt7 0.132 0.435 0.000
Pt8 0.868 0.565 0.000
Se1 0.774 0.594 0.363
Se2 0.226 0.406 0.363
Se3 0.726 0.094 0.863
Se4 0.274 0.906 0.863
Se5 0.594 0.226 0.363
Se6 0.406 0.774 0.363
Se7 0.094 0.274 0.863
Se8 0.906 0.726 0.863
Se9 0.226 0.406 0.637
Se10 0.774 0.594 0.637
Se11 0.274 0.906 0.137
Se12 0.726 0.094 0.137
Se13 0.406 0.774 0.637
Se14 0.594 0.226 0.637
Se15 0.906 0.726 0.137
Se16 0.094 0.274 0.137
Se17 0.579 0.783 0.134
Se18 0.421 0.217 0.134
Se19 0.921 0.283 0.634
Se20 0.079 0.717 0.634
Se21 0.783 0.421 0.134
Se22 0.217 0.579 0.134
Se23 0.283 0.079 0.634
Se24 0.717 0.921 0.634
Se25 0.421 0.217 0.866
Se26 0.579 0.783 0.866
Se27 0.079 0.717 0.366
Se28 0.921 0.283 0.366
Se29 0.217 0.579 0.866
Se30 0.783 0.421 0.866
Se31 0.717 0.921 0.366
Se32 0.283 0.079 0.366
Se33 0.500 0.500 0.500
Se34 0.000 0.000 0.000
# * ΔE_f (raw): -1048 meV per atom
# * magnetic moment: 24.00 Bohr magnetons per cell
# * uncorrected energy: -45.349 eV per atom
# * space-group type: P4/mnc, No. 128